# 1
VASP calculation (PBE) on an optimized crystal structure of CsHfCr2Pt.

The structure in POSCAR format:
```
CsHfCr2Pt
1.0
5.2913 0.0000 0.0000
0.0000 4.9489 0.0000
0.0000 0.0000 5.2913
Hf Cs Pt Cr
1 1 1 2
Direct
0.0000 0.5000 0.0000
0.5000 0.5000 0.5000
0.0000 0.0000 0.0000
0.0000 0.0000 0.5000
0.5000 0.0000 0.0000
```

Summary:
The value obtained for the density of states at the Fermi level is 3.77 states/eV/f.u. Its spin magnetization is 8.25 μB per cell. The formation energy is 0.812 eV/atom.

***

# 2
VASP calculation (PBE) on an optimized crystal structure of Cs2HfCrRu.

The structure in POSCAR format:
```
Cs2HfCrRu
1.0
-4.4199 4.3628 2.7185
-3.1185 -3.5562 0.6369
2.6078 -1.1865 6.1441
Hf Cs Ru Cr
1 2 1 1
Direct
0.0000 0.5000 0.0000
0.5000 0.0000 0.0000
0.0000 0.0000 0.5000
0.0000 0.0000 0.0000
0.5000 0.5000 0.5000
```

Summary:
The value obtained for the density of states at the Fermi level is 3.67 states/eV/f.u. Its spin magnetization is 5.13 μB per cell. The formation energy is 1.339 eV/atom.

***

# 3
VASP calculation (PBE) on an optimized crystal structure of CsHfTl2Cr.

The structure in POSCAR format:
```
CsHfTl2Cr
1.0
-0.3413 -3.3986 4.5353
5.7245 -2.4638 -1.4155
2.5012 3.9868 3.1758
Tl Cs Hf Cr
2 1 1 1
Direct
0.5000 0.0000 0.0000
0.0000 0.0000 0.5000
0.0000 0.5000 0.0000
0.0000 0.0000 0.0000
0.5000 0.5000 0.5000
```

Summary:
The value obtained for the density of states at the Fermi level is 5.74 states/eV/f.u. Its spin magnetization is 3.95 μB per cell. The formation energy is 1.245 eV/atom.

***

# 4
VASP calculation (PBE) on an optimized crystal structure of CsCrHg3.

The structure in POSCAR format:
```
CsCrHg3
1.0
6.8584 0.0000 0.0000
0.0000 6.8584 0.0000
0.0000 0.0000 6.8584
Hg Cr Cs
3 1 1
Direct
0.5000 0.0000 0.0000
0.0000 0.5000 0.0000
0.0000 0.0000 0.5000
0.5000 0.5000 0.5000
0.0000 0.0000 0.0000
```

Summary:
The polymorph energy (0 for the lowest one) comes out at 0.726 eV per atom. The value obtained for the density of states at the Fermi level is 1.93 states/eV/f.u. Its spin magnetization is 5.11 μB per cell. The formation energy is 0.816 eV/atom.

***

# 5
VASP calculation (PBE) on an optimized crystal structure of CsCrHg3.

The structure in POSCAR format:
```
CsCrHg3
1.0
5.5374 0.0000 0.0000
0.0000 5.5374 0.0000
0.0000 0.0000 5.5374
Hg Cr Cs
3 1 1
Direct
0.0000 0.0000 0.5000
0.5000 0.0000 0.0000
0.0000 0.5000 0.0000
0.0000 0.0000 0.0000
0.5000 0.5000 0.5000
```

Summary:
The polymorph energy (0 for the lowest one) comes out at 0.000 eV per atom. The value obtained for the density of states at the Fermi level is 2.65 states/eV/f.u. Its spin magnetization is 4.50 μB per cell. The formation energy is 0.090 eV/atom.

***

# 6
VASP calculation (PBE) on an optimized crystal structure of CsCrHg2.

The structure in POSCAR format:
```
CsCrHg2
1.0
-5.2540 -2.0350 -1.1947
-1.2266 -1.8672 -5.3087
-0.7570 -5.6266 -0.9705
Cr Hg Cs
1 2 1
Direct
0.0000 0.0000 0.0000
0.7500 0.7500 0.7500
0.2500 0.2500 0.2500
0.5000 0.5000 0.5000
```

Summary:
The value obtained for the density of states at the Fermi level is 1.77 states/eV/f.u. Its spin magnetization is 5.08 μB per cell. The formation energy is 0.462 eV/atom.

***

# 7
VASP calculation (PBE) on an optimized crystal structure of CsCr2HgIr.

The structure in POSCAR format:
```
CsCr2HgIr
1.0
-1.5966 -1.9206 5.5957
6.1313 -0.9061 1.4385
0.3627 5.7532 2.0781
Ir Cs Hg Cr
1 1 1 2
Direct
0.5000 0.5000 0.5000
0.0000 0.0000 0.0000
0.0000 0.5000 0.0000
0.5000 0.0000 0.0000
0.0000 0.0000 0.5000
```

Summary:
The value obtained for the density of states at the Fermi level is 2.71 states/eV/f.u. Its spin magnetization is 9.55 μB per cell. The formation energy is 2.697 eV/atom.

***

# 8
VASP calculation (PBE) on an optimized crystal structure of CsRb2CrHg.

The structure in POSCAR format:
```
CsRb2CrHg
1.0
-7.2493 3.4372 2.7129
-1.5905 -5.8966 3.2208
3.9202 2.7567 6.9828
Cr Hg Rb Cs
1 1 2 1
Direct
0.0000 0.5000 0.0000
0.5000 0.5000 0.5000
0.5000 0.0000 0.0000
0.0000 0.0000 0.5000
0.0000 0.0000 0.0000
```

Summary:
The value obtained for the density of states at the Fermi level is 4.83 states/eV/f.u. Its spin magnetization is 6.14 μB per cell. The formation energy is 0.866 eV/atom.